A plane-wave DFT calculation with PBE was carried out for a relaxed K3AgGe4 crystal.

Summary:
Its total energy is -3.2831 eV per atom.

Cell: 6.654 12.088 6.255 Å, 90.00 90.00 90.00°
Sites, in units of the cell vectors:
K: 0.250 0.013 0.168
K: 0.250 0.250 0.574
K: 0.250 0.487 0.168
K: 0.750 0.513 0.832
K: 0.750 0.750 0.426
K: 0.750 0.987 0.832
Ag: 0.250 0.750 0.309
Ag: 0.750 0.250 0.691
Ge: 0.041 0.750 0.940
Ge: 0.250 0.635 0.675
Ge: 0.250 0.865 0.675
Ge: 0.459 0.750 0.940
Ge: 0.541 0.250 0.060
Ge: 0.750 0.135 0.325
Ge: 0.750 0.365 0.325
Ge: 0.959 0.250 0.060